A plane-wave DFT calculation with PBE was carried out for BaSm4Pt3O12 after structural relaxation.

Computed properties:
The density is 8.290 Mg/m³. As for the final energy: -6.994 eV/atom.

Cell: 8.4685 8.4685 8.4685 Å, 90.00 90.00 90.00°
Space group Im-3 (No. 204)
Symmetry-distinct sites (fractional):
Ba 0.0000 0.0000 0.0000 x2
Sm 0.2500 0.2500 0.2500 x8
Pt 0.0000 0.0000 0.5000 x6
O 0.0000 0.3212 0.1548 x24